Material: TbNd2TmP4
Method: DFT, PBE
State: optimized geometry

a b c (Å): 7.0606 4.0817 7.0653
angles (deg): 90.00 109.48 90.00
Space group P2/m (No. 10)
One atom of each set of equivalent atoms:
Tb 0.0000 0.0000 0.0000 [1 per cell]
Nd 0.5000 0.0000 0.5000 [1 per cell]
Nd 0.5000 0.5000 0.0000 [1 per cell]
Tm 0.0000 0.5000 0.5000 [1 per cell]
P 0.2384 0.0000 0.7439 [2 per cell]
P 0.2399 0.5000 0.2489 [2 per cell]

Summary:
Its magnetic moment is 0.000 μB/atom. Its formation energy is -1.563 eV/atom.



Material: GaPbBr
Method: DFT, PBE
State: optimized geometry

a b c (Å): 12.7538 4.4452 6.2231
angles (deg): 90.00 90.00 90.00
Space group Amm2 (No. 38)
One atom of each set of equivalent atoms:
Ga 0.0000 0.0000 0.0000 [2 per cell]
Ga 0.5000 0.0000 0.1116 [2 per cell]
Pb 0.1525 0.0000 0.3911 [4 per cell]
Br 0.3426 0.0000 0.7531 [4 per cell]

Summary:
Its magnetic moment is 0.000 μB/atom. The calculation puts the raw formation energy at -260 meV/atom.



Material: InHg2B2O6
Method: DFT, PBE
State: optimized geometry

a b c (Å): 9.3578 5.3046 7.4687
angles (deg): 90.00 128.49 90.00
Space group C2/m (No. 12)
One atom of each set of equivalent atoms:
In 0.0000 0.0000 0.0000 [2 per cell]
Hg 0.0749 0.5000 0.3946 [4 per cell]
B 0.2242 0.0000 0.7781 [4 per cell]
O 0.0855 0.0000 0.7898 [4 per cell]
O 0.2022 0.2795 0.2408 [8 per cell]

Summary:
Its magnetic moment is 0.000 μB/atom. The calculation puts the raw formation energy at -1430 meV/atom.



Material: Pr6Zn3Ag
Method: DFT, PBE
State: optimized geometry

a b c (Å): 9.3437 5.2943 11.8205
angles (deg): 90.00 108.75 90.00
Space group P2_1/m (No. 11)
One atom of each set of equivalent atoms:
Pr 0.0329 0.2500 0.4064 [2 per cell]
Pr 0.1549 0.7500 0.1782 [2 per cell]
Pr 0.2345 0.2500 0.9949 [2 per cell]
Pr 0.3373 0.7500 0.8068 [2 per cell]
Pr 0.3738 0.2500 0.3531 [2 per cell]
Pr 0.3952 0.2500 0.6316 [2 per cell]
Zn 0.0310 0.7500 0.8776 [2 per cell]
Zn 0.1103 0.2500 0.7138 [2 per cell]
Zn 0.2684 0.7500 0.4769 [2 per cell]
Ag 0.4504 0.7500 0.0904 [2 per cell]

Summary:
Its magnetic moment is 0.000 μB/atom. Its formation energy is -0.178 eV/atom. For the energy relative to the lowest polymorph listed for this composition, the calculation gives 0.000 eV/atom.



Material: Ti2AgS
Method: DFT, PBE
State: optimized geometry

a b c (Å): 6.9002 6.9002 5.7872
angles (deg): 90.00 90.00 90.00
Space group I-42d (No. 122)
One atom of each set of equivalent atoms:
Ti 0.2068 0.7500 0.1250 [8 per cell]
Ag 0.0000 0.0000 0.5000 [4 per cell]
S 0.0000 0.0000 0.0000 [4 per cell]

Summary:
Its magnetic moment is 0.000 μB/atom. The calculation puts the raw formation energy at -290 meV/atom.



Material: KNiPt2
Method: DFT, PBE
State: optimized geometry

a b c (Å): 2.7765 4.4513 6.6914
angles (deg): 90.00 101.86 90.00
Space group Pm (No. 6)
One atom of each set of equivalent atoms:
K 0.0000 0.0000 0.0000 [1 per cell]
Ni 0.6578 0.5000 0.3092 [1 per cell]
Pt 0.3156 0.5000 0.6292 [1 per cell]
Pt 0.7554 0.0000 0.5079 [1 per cell]

Summary:
Its magnetic moment is 0.150 μB/atom. Its formation energy is 0.251 eV/atom. For the energy relative to the lowest polymorph listed for this composition, the calculation gives 0.152 eV/atom.



Material: LaY2Ni
Method: DFT, PBE
State: optimized geometry

a b c (Å): 3.7772 3.7772 28.2808
angles (deg): 90.00 90.00 120.00
Space group R3m (No. 160, hexagonal axes)
One atom of each set of equivalent atoms:
La 0.0000 0.0000 0.0000 [3 per cell]
Y 0.0000 0.0000 0.2258 [3 per cell]
Y 0.0000 0.0000 0.4551 [3 per cell]
Ni 0.0000 0.0000 0.7281 [3 per cell]

Summary:
Its magnetic moment is 0.000 μB/atom. Its formation energy is -0.072 eV/atom. For the energy relative to the lowest polymorph listed for this composition, the calculation gives 0.145 eV/atom.



Material: ErNbS
Method: DFT, PBE
State: optimized geometry

a b c (Å): 9.9592 3.6106 7.0581
angles (deg): 90.00 104.47 90.00
Space group C2/m (No. 12)
One atom of each set of equivalent atoms:
Er 0.1020 0.0000 0.3127 [4 per cell]
Nb 0.1399 0.5000 0.9370 [4 per cell]
S 0.1867 0.0000 0.7132 [4 per cell]

Summary:
Its magnetic moment is 0.000 μB/atom. The calculation puts the raw formation energy at -911 meV/atom.



Number 1: volume 192.0 Å³/cell. Number 2: volume 352.8 Å³/cell. Number 3: volume 290.2 Å³/cell. Number 4: volume 553.7 Å³/cell. Number 5: volume 275.5 Å³/cell. Number 6: volume 80.9 Å³/cell. Number 7: volume 349.4 Å³/cell. Number 8: volume 245.7 Å³/cell.